# 1
# Ba3Pb4, optimized geometry, DFT PBE-GGA
data_Ba3Pb4
_cell_length_a 5.274
_cell_length_b 12.924
_cell_length_c 16.514
_cell_angle_alpha 90.00
_cell_angle_beta 90.00
_cell_angle_gamma 90.00
_space_group_name_H-M_alt 'C m c 21'
_space_group_IT_number 36
loop_
_space_group_symop_operation_xyz
'x,y,z'
'-x,-y,z+1/2'
'-x,y,z'
'x,-y,z+1/2'
'x+1/2,y+1/2,z'
'-x+1/2,-y+1/2,z+1/2'
'-x+1/2,y+1/2,z'
'x+1/2,-y+1/2,z+1/2'
loop_
_atom_site_label
_atom_site_type_symbol
_atom_site_fract_x
_atom_site_fract_y
_atom_site_fract_z
Ba1 Ba 0.000 0.005 0.000
Ba2 Ba 0.000 0.282 0.848
Ba3 Ba 0.000 0.287 0.147
Pb1 Pb 0.000 0.024 0.736
Pb2 Pb 0.000 0.276 0.495
Pb3 Pb 0.000 0.419 0.649
Pb4 Pb 0.000 0.438 0.353
# - Formation enthalpy at 0 K: -0.50 eV/atom
# - Uncorrected energy: -3.442 eV/atom

***

# 2
# MnFeI5, optimized geometry, DFT PBE-GGA
data_MnFeI5
_cell_length_a 17.740
_cell_length_b 8.089
_cell_length_c 10.022
_cell_angle_alpha 90.00
_cell_angle_beta 90.00
_cell_angle_gamma 90.00
_space_group_name_H-M_alt 'P n m a'
_space_group_IT_number 62
loop_
_space_group_symop_operation_xyz
'x,y,z'
'-x,-y,-z'
'-x+1/2,-y,z+1/2'
'x+1/2,y,-z+1/2'
'x+1/2,-y+1/2,-z+1/2'
'-x+1/2,y+1/2,z+1/2'
'-x,y+1/2,-z'
'x,-y+1/2,z'
loop_
_atom_site_label
_atom_site_type_symbol
_atom_site_fract_x
_atom_site_fract_y
_atom_site_fract_z
Mn1 Mn 0.006 0.250 0.187
Fe1 Fe 0.150 0.750 0.446
I1 I 0.000 0.000 0.000
I2 I 0.088 0.019 0.367
I3 I 0.139 0.750 0.710
I4 I 0.213 0.250 0.893
# - Uncorrected energy: -3.779 eV/atom
# - Formation energy from raw total energies: -153 meV/atom

***

# 3
# TcAgAu, optimized geometry, DFT PBE-GGA
data_TcAgAu
_cell_length_a 9.083
_cell_length_b 2.758
_cell_length_c 9.230
_cell_angle_alpha 90.00
_cell_angle_beta 115.91
_cell_angle_gamma 90.00
_space_group_name_H-M_alt 'C 1 2/m 1'
_space_group_IT_number 12
loop_
_space_group_symop_operation_xyz
'x,y,z'
'-x,-y,-z'
'-x,y,-z'
'x,-y,z'
'x+1/2,y+1/2,z'
'-x+1/2,-y+1/2,-z'
'-x+1/2,y+1/2,-z'
'x+1/2,-y+1/2,z'
loop_
_atom_site_label
_atom_site_type_symbol
_atom_site_fract_x
_atom_site_fract_y
_atom_site_fract_z
Tc1 Tc 0.159 0.000 0.051
Ag1 Ag 0.174 0.500 0.590
Au1 Au 0.016 0.500 0.238
# - Formation enthalpy at 0 K: 0.32 eV/atom
# - Uncorrected energy: -5.178 eV/atom

***

# 4
# ScCr2Sb, optimized geometry, DFT PBE-GGA
data_ScCr2Sb
_cell_length_a 3.154
_cell_length_b 4.563
_cell_length_c 5.073
_cell_angle_alpha 90.00
_cell_angle_beta 94.05
_cell_angle_gamma 90.00
_space_group_name_H-M_alt 'P 1 2/m 1'
_space_group_IT_number 10
loop_
_space_group_symop_operation_xyz
'x,y,z'
'-x,-y,-z'
'-x,y,-z'
'x,-y,z'
loop_
_atom_site_label
_atom_site_type_symbol
_atom_site_fract_x
_atom_site_fract_y
_atom_site_fract_z
Sc1 Sc 0.000 0.000 0.000
Cr1 Cr 0.397 0.500 0.816
Sb1 Sb 0.500 0.000 0.500
# - Uncorrected energy: -7.200 eV/atom
# - Formation energy from raw total energies: 225 meV/atom

***

# 5
# HoTlPt2, optimized geometry, DFT PBE-GGA
data_HoTlPt2
_cell_length_a 3.551
_cell_length_b 3.551
_cell_length_c 6.553
_cell_angle_alpha 90.00
_cell_angle_beta 90.00
_cell_angle_gamma 90.00
_space_group_name_H-M_alt 'P 4/m m m'
_space_group_IT_number 123
_space_group_name_Hall '-P 4 2'
loop_
_atom_site_label
_atom_site_type_symbol
_atom_site_fract_x
_atom_site_fract_y
_atom_site_fract_z
Ho1 Ho 0.000 0.000 0.000
Tl1 Tl 0.000 0.000 0.500
Pt1 Pt 0.500 0.500 0.236
# - Formation enthalpy at 0 K: -0.68 eV/atom
# - Uncorrected energy: -5.435 eV/atom

***

# 6
# BMoP2, optimized geometry, DFT PBE-GGA
data_BMoP2
_cell_length_a 5.326
_cell_length_b 5.326
_cell_length_c 8.518
_cell_angle_alpha 90.00
_cell_angle_beta 90.00
_cell_angle_gamma 90.00
_space_group_name_H-M_alt 'I -4 2 d'
_space_group_IT_number 122
_space_group_name_Hall 'I -4 2bw'
loop_
_atom_site_label
_atom_site_type_symbol
_atom_site_fract_x
_atom_site_fract_y
_atom_site_fract_z
B1 B 0.000 0.000 0.000
Mo1 Mo 0.000 0.000 0.500
P1 P 0.185 0.250 0.125
# - Formation enthalpy at 0 K: 0.16 eV/atom
# - Uncorrected energy: -6.920 eV/atom

***

# 7
# Th4Ni2Pb, optimized geometry, DFT PBE-GGA
data_Th4Ni2Pb
_cell_length_a 3.8530
_cell_length_b 3.8530
_cell_length_c 45.0859
_cell_angle_alpha 90.00
_cell_angle_beta 90.00
_cell_angle_gamma 120.00
_space_group_name_H-M_alt 'R -3 m'
_space_group_IT_number 166
_space_group_name_Hall '-R 3 2"'
loop_
_atom_site_label
_atom_site_type_symbol
_atom_site_fract_x
_atom_site_fract_y
_atom_site_fract_z
Th1 Th 0.0000 0.0000 0.1073
Th2 Th 0.0000 0.0000 0.3011
Ni1 Ni 0.0000 0.0000 0.4035
Pb1 Pb 0.0000 0.0000 0.5000
# - Formation enthalpy at 0 K: -0.17 eV/atom
# - Uncorrected energy: -6.595 eV/atom

***

# 8
# NaTmRu2O8, optimized geometry, DFT PBE-GGA
data_NaTmRu2O8
_cell_length_a 5.8911
_cell_length_b 5.8911
_cell_length_c 6.8566
_cell_angle_alpha 90.00
_cell_angle_beta 90.00
_cell_angle_gamma 120.00
_space_group_name_H-M_alt 'P -3'
_space_group_IT_number 147
loop_
_space_group_symop_operation_xyz
'x,y,z'
'-x,-y,-z'
'-y,x-y,z'
'y,-x+y,-z'
'-x+y,-x,z'
'x-y,x,-z'
loop_
_atom_site_label
_atom_site_type_symbol
_atom_site_fract_x
_atom_site_fract_y
_atom_site_fract_z
Na1 Na 0.0000 0.0000 0.0000
Tm1 Tm 0.0000 0.0000 0.5000
Ru1 Ru 0.3333 0.6667 0.7924
O1 O 0.1641 0.3310 0.7072
O2 O 0.3333 0.6667 0.0467
# - Uncorrected energy: -6.780 eV/atom
# - Formation energy from raw total energies: -1446 meV/atom